# PBE-GGA TlHgSe2, optimized geometry
# Energy relative to the elements, uncorrected: -0.9 kJ/mol of atoms
# Total magnetization: 0.000 μB/atom
data_TlHgSe2
_chemical_formula_sum 'Tl1 Hg1 Se2'
_space_group_name_H-M_alt 'P 1'
_space_group_IT_number 1
_space_group_name_Hall 'P 1'
_cell_length_a 3.042
_cell_length_b 5.802
_cell_length_c 5.856
_cell_angle_alpha 90.00
_cell_angle_beta 90.00
_cell_angle_gamma 90.00
loop_
_atom_site_label
_atom_site_fract_x
_atom_site_fract_y
_atom_site_fract_z
Tl1 0.000 0.000 0.000
Hg1 0.500 0.500 0.499
Se1 0.000 0.000 0.500
Se2 0.500 0.500 0.999